1.
5
Lattice="4.8346 0.0000 0.0000 0.0000 4.8346 0.0000 0.0000 0.0000 4.8346" Properties=species:S:1:pos:R:3 comment="meta-GGA SCAN CaBe3P, single point on PBEsol structure" dos_ef_per_ev_cell=3.55 energy_ev_per_cell=-21.02 spacegroup="No. 221" volume_a3_per_cell=113.0 pbc="T T T"
Ca 0.0000 0.0000 0.0000
Be 0.0000 0.0000 2.4173
Be 0.0000 2.4173 0.0000
Be 2.4173 0.0000 0.0000
P 2.4173 2.4173 2.4173

---

2.
17
Lattice="-4.0066 4.0066 4.0066 4.0066 -4.0066 4.0066 4.0066 4.0066 -4.0066" Properties=species:S:1:pos:R:3 comment="meta-GGA SCAN NdP12Ru4, single point on PBEsol structure" dos_ef_per_ev_cell=3.49 energy_ev_per_cell=-320.27 spacegroup="No. 204" volume_a3_per_cell=257.3 pbc="T T T"
Nd 0.0000 0.0000 0.0000
P 2.8630 0.0000 1.1581
P 5.1502 0.0000 1.1581
P 4.0066 2.8485 -1.1436
P 1.1581 2.8630 0.0000
P 2.8485 -1.1436 4.0066
P 4.0066 2.8485 1.1436
P 0.0000 1.1581 2.8630
P 1.1581 5.1502 0.0000
P 2.8485 1.1436 4.0066
P 0.0000 1.1581 5.1502
P -1.1436 4.0066 2.8485
P 1.1436 4.0066 2.8485
Ru 2.0033 2.0033 -2.0033
Ru 2.0033 -2.0033 2.0033
Ru -2.0033 2.0033 2.0033
Ru 2.0033 2.0033 2.0033

---

3.
4
Lattice="2.7283 0.0000 0.0000 0.0000 3.9080 0.0000 0.0000 0.0000 5.4762" Properties=species:S:1:pos:R:3 comment="meta-GGA SCAN ReAgOs2, single point on PBEsol structure" polymorph_energy_mev_per_atom=285 dos_ef_per_ev_cell=3.69 energy_ev_per_cell=-244.00 spacegroup="No. 25" volume_a3_per_cell=58.4 pbc="T T T"
Re 0.0000 0.0000 0.0000
Ag 1.3642 1.9540 1.4674
Os 0.0000 0.0000 2.9040
Os 1.3642 1.9540 4.2060

---

4.
5
Lattice="5.5674 0.0000 0.0000 0.0000 5.5674 0.0000 0.0000 0.0000 5.5674" Properties=species:S:1:pos:R:3 comment="meta-GGA SCAN CaZrPb3, single point on PBEsol structure" dos_ef_per_ev_cell=2.12 energy_ev_per_cell=-268.32 spacegroup="No. 221" volume_a3_per_cell=172.6 pbc="T T T"
Ca 0.0000 0.0000 0.0000
Zr 2.7837 2.7837 2.7837
Pb 0.0000 2.7837 2.7837
Pb 2.7837 0.0000 2.7837
Pb 2.7837 2.7837 0.0000

---

5.
4
Lattice="3.0695 0.0000 0.0000 0.0000 3.0695 0.0000 0.0000 0.0000 7.6544" Properties=species:S:1:pos:R:3 comment="meta-GGA SCAN TaCd2Os, single point on PBEsol structure" polymorph_energy_mev_per_atom=0 dos_ef_per_ev_cell=2.39 energy_ev_per_cell=-199.06 spacegroup="No. 99" volume_a3_per_cell=72.1 pbc="T T T"
Ta 0.0000 0.0000 0.0000
Cd 0.0000 0.0000 4.2623
Cd 1.5348 1.5348 2.1614
Os 1.5348 1.5348 6.2071

---

6.
4
Lattice="-2.2522 2.2522 5.6263 2.2522 -2.2522 5.6263 2.2522 2.2522 -5.6263" Properties=species:S:1:pos:R:3 comment="meta-GGA SCAN Sr2HgAs, single point on PBEsol structure" polymorph_energy_mev_per_atom=267 dos_ef_per_ev_cell=2.24 energy_ev_per_cell=-135.85 spacegroup="No. 119" volume_a3_per_cell=114.2 pbc="T T T"
Sr 0.0000 0.0000 0.0000
Sr 0.0000 2.2522 2.8131
Hg 2.2522 0.0000 2.8131
As 0.0000 0.0000 5.6263

---

7.
10
Lattice="5.8935 0.0000 0.0000 0.0000 5.8935 0.0000 0.0000 0.0000 4.8848" Properties=species:S:1:pos:R:3 comment="meta-GGA SCAN Ag2P2Pt, single point on PBEsol structure" dos_ef_per_ev_cell=3.41 energy_ev_per_cell=-309.55 spacegroup="No. 127" volume_a3_per_cell=169.7 pbc="T T T"
Ag 1.0633 1.8834 0.0000
Ag 1.8834 4.8302 0.0000
Ag 4.0101 1.0633 0.0000
Ag 4.8302 4.0101 0.0000
P 0.7717 2.1751 2.4424
P 2.1751 5.1218 2.4424
P 3.7184 0.7717 2.4424
P 5.1218 3.7184 2.4424
Pt 0.0000 0.0000 2.4424
Pt 2.9468 2.9468 2.4424

---

8.
4
Lattice="0.0000 3.9675 3.9675 3.9675 0.0000 3.9675 3.9675 3.9675 0.0000" Properties=species:S:1:pos:R:3 comment="meta-GGA SCAN K2TlHg, single point on PBEsol structure" polymorph_energy_mev_per_atom=46 dos_ef_per_ev_cell=3.28 energy_ev_per_cell=-157.93 spacegroup="No. 216" volume_a3_per_cell=124.9 pbc="T T T"
K 0.0000 0.0000 0.0000
K 1.9837 1.9837 1.9837
Tl 3.9675 3.9675 3.9675
Hg 5.9512 5.9512 5.9512